Record 1
## RbDy2CuS4 (GGA-PBE)

Data for an optimized crystal structure of RbDy2CuS4.

Calculated values
For the total energy, the calculation gives -87.26 eV for the cell shown. As for the spin magnetization: 0.001 μB per formula unit.

CIF file:
```
data_RbDy2CuS4
_cell_length_a 7.161
_cell_length_b 7.161
_cell_length_c 13.755
_cell_angle_alpha 90.00
_cell_angle_beta 90.00
_cell_angle_gamma 147.74
_space_group_name_H-M_alt 'P 1'
_space_group_IT_number 1
_space_group_name_Hall 'P 1'
loop_
_atom_site_label
_atom_site_type_symbol
_atom_site_fract_x
_atom_site_fract_y
_atom_site_fract_z
_atom_site_occupancy
S1 S 0.741 0.259 0.108 1
S2 S 0.425 0.575 0.250 1
S3 S 0.259 0.741 0.892 1
S4 S 0.000 0.000 0.500 1
S5 S 0.741 0.259 0.392 1
S6 S 0.575 0.425 0.750 1
S7 S 0.259 0.741 0.608 1
S8 S 0.000 0.000 0.000 1
Dy1 Dy 0.366 0.634 0.438 1
Dy2 Dy 0.634 0.366 0.562 1
Dy3 Dy 0.634 0.366 0.938 1
Dy4 Dy 0.366 0.634 0.062 1
Cu1 Cu 0.836 0.164 0.250 1
Cu2 Cu 0.164 0.836 0.750 1
Rb1 Rb 0.892 0.108 0.750 1
Rb2 Rb 0.108 0.892 0.250 1
```


Record 2
## RbDy2Cu3S5 (GGA-PBE)

Data for an optimized crystal structure of RbDy2Cu3S5.

Calculated values
For the total energy, the calculation gives -111.39 eV for the cell shown. As for the spin magnetization: 0.001 μB per formula unit.

CIF file:
```
data_RbDy2Cu3S5
_cell_length_a 7.232
_cell_length_b 7.232
_cell_length_c 16.503
_cell_angle_alpha 90.00
_cell_angle_beta 90.00
_cell_angle_gamma 148.32
_space_group_name_H-M_alt 'P 1'
_space_group_IT_number 1
_space_group_name_Hall 'P 1'
loop_
_atom_site_label
_atom_site_type_symbol
_atom_site_fract_x
_atom_site_fract_y
_atom_site_fract_z
_atom_site_occupancy
Cu1 Cu 0.346 0.654 0.250 1
Cu2 Cu 0.584 0.416 0.037 1
Cu3 Cu 0.416 0.584 0.963 1
Cu4 Cu 0.416 0.584 0.537 1
Cu5 Cu 0.584 0.416 0.463 1
Cu6 Cu 0.654 0.346 0.750 1
S1 S 0.833 0.167 0.930 1
S2 S 0.761 0.239 0.250 1
S3 S 0.561 0.439 0.886 1
S4 S 0.167 0.833 0.070 1
S5 S 0.239 0.761 0.750 1
S6 S 0.561 0.439 0.614 1
S7 S 0.167 0.833 0.430 1
S8 S 0.439 0.561 0.386 1
S9 S 0.833 0.167 0.570 1
S10 S 0.439 0.561 0.114 1
Dy1 Dy 0.808 0.192 0.407 1
Dy2 Dy 0.192 0.808 0.593 1
Dy3 Dy 0.192 0.808 0.907 1
Dy4 Dy 0.808 0.192 0.093 1
Rb1 Rb 0.066 0.934 0.250 1
Rb2 Rb 0.934 0.066 0.750 1
```


Record 3
## RbDy2Cu3SeS4 (GGA-PBE)

Data for an optimized crystal structure of RbDy2Cu3SeS4.

Calculated values
For the total energy, the calculation gives -109.28 eV for the cell shown. As for the spin magnetization: 0.001 μB per formula unit.

CIF file:
```
data_RbDy2Cu3SeS4
_cell_length_a 7.262
_cell_length_b 7.262
_cell_length_c 16.731
_cell_angle_alpha 90.00
_cell_angle_beta 90.00
_cell_angle_gamma 148.18
_space_group_name_H-M_alt 'P 1'
_space_group_IT_number 1
_space_group_name_Hall 'P 1'
loop_
_atom_site_label
_atom_site_type_symbol
_atom_site_fract_x
_atom_site_fract_y
_atom_site_fract_z
_atom_site_occupancy
Cu1 Cu 0.415 0.585 0.463 1
Cu2 Cu 0.585 0.415 0.537 1
Cu3 Cu 0.352 0.648 0.750 1
Cu4 Cu 0.415 0.585 0.037 1
Cu5 Cu 0.585 0.415 0.963 1
Cu6 Cu 0.648 0.352 0.250 1
Dy1 Dy 0.810 0.190 0.910 1
Dy2 Dy 0.190 0.810 0.090 1
Dy3 Dy 0.810 0.190 0.590 1
Dy4 Dy 0.190 0.810 0.410 1
S1 S 0.561 0.439 0.112 1
S2 S 0.168 0.832 0.570 1
S3 S 0.439 0.561 0.888 1
S4 S 0.561 0.439 0.388 1
S5 S 0.832 0.168 0.070 1
S6 S 0.168 0.832 0.930 1
S7 S 0.439 0.561 0.612 1
S8 S 0.832 0.168 0.430 1
Se1 Se 0.244 0.756 0.250 1
Se2 Se 0.756 0.244 0.750 1
Rb1 Rb 0.061 0.939 0.750 1
Rb2 Rb 0.939 0.061 0.250 1
```